## DyHo2MoO6 (GGA+U)

Data for crystalline DyHo2MoO6 at its relaxed geometry.

Geometry as POSCAR:
```
DyHo2MoO6
1.0
2.855 1.649 5.019
-2.855 1.649 5.019
0.000 -3.297 5.019
Dy Ho Mo O
1 2 1 6
direct
0.000 0.000 0.000
0.214 0.214 0.214
0.720 0.720 0.720
0.510 0.510 0.510
0.122 0.400 0.801
0.313 0.892 0.611
0.400 0.801 0.122
0.611 0.313 0.892
0.801 0.122 0.400
0.892 0.611 0.313
```

Summary:
The calculation puts the calculated density at 8.0 Mg/m³. The total energy is -81.3 eV/cell. The total magnetization is 3.00 μB/cell.